Entry 1:
13
Lattice="6.042 0.000 0.000 -1.000 5.965 0.000 -2.008 -0.342 10.803" Properties=species:S:1:pos:R:3 comment="Tb8Ho2Sc3 | Alexandria via LeMat-Bulk | GGA-PBE | relaxed" density_g_cm3=7.405 polymorph_energy_ev_per_fu=0.00 total_energy_ev_per_atom=-4.9739 magnetic_moment_mub_per_fu=0.0 vol_a3_per_atom=29.9 ef_mev_per_atom=41 pbc="T T T"
Tb -0.466 2.444 1.596
Tb -0.511 0.443 8.406
Tb 0.519 4.688 4.108
Tb 0.498 3.682 7.545
Tb 2.535 1.941 3.258
Tb 2.515 0.935 6.695
Tb 3.545 5.180 2.396
Tb 3.499 3.179 9.207
Ho -0.500 1.446 4.977
Ho 3.534 4.176 5.825
Sc 0.545 5.706 0.793
Sc 2.521 2.983 0.000
Sc 2.489 -0.083 10.010



Entry 2:
11
Lattice="3.040 -5.268 0.000 3.040 5.268 0.000 -2.049 0.000 10.999" Properties=species:S:1:pos:R:3 comment="Tb6Ho3Sc2 | Alexandria via LeMat-Bulk | GGA-PBE | relaxed" density_g_cm3=7.252 polymorph_energy_ev_per_fu=0.00 total_energy_ev_per_atom=-4.7208 magnetic_moment_mub_per_fu=0.0 vol_a3_per_atom=32.0 ef_mev_per_atom=204 pbc="T T T"
Tb -0.018 1.758 8.374
Tb 1.002 0.000 2.627
Tb -0.018 -1.758 8.374
Tb 4.048 1.758 2.625
Tb 3.028 0.000 8.372
Tb 4.048 -1.758 2.625
Ho -1.025 0.000 5.499
Ho 2.015 1.748 5.499
Ho 2.015 -1.748 5.499
Sc 3.040 3.515 0.000
Sc 3.040 -3.515 0.000



Entry 3:
19
Lattice="7.336 -4.336 0.000 7.336 4.336 0.000 -0.469 0.000 8.226" Properties=species:S:1:pos:R:3 comment="Tb5Ho2Sc12 | Alexandria via LeMat-Bulk | GGA-PBE | relaxed" density_g_cm3=5.279 total_energy_ev_per_atom=-5.5688 magnetic_moment_mub_per_fu=0.0 vol_a3_per_atom=27.5 ef_mev_per_atom=130 pbc="T T T"
Tb 0.000 0.000 0.000
Tb 3.411 0.000 0.610
Tb 3.981 0.000 3.992
Tb 10.222 0.000 4.234
Tb 10.791 0.000 7.616
Ho 7.101 1.545 4.113
Ho 7.101 -1.545 4.113
Sc 5.069 2.796 2.075
Sc 0.838 0.000 3.059
Sc 5.045 1.634 6.856
Sc 9.134 2.796 6.151
Sc 9.157 1.634 1.370
Sc 6.494 0.000 1.335
Sc 7.709 0.000 6.891
Sc 5.045 -1.634 6.856
Sc 5.069 -2.796 2.075
Sc 9.157 -1.634 1.370
Sc 13.365 0.000 5.167
Sc 9.134 -2.796 6.151



Entry 4:
15
Lattice="3.537 0.000 0.000 0.000 5.434 0.000 -0.305 0.000 24.396" Properties=species:S:1:pos:R:3 comment="Tb2Ho12Sc | Alexandria via LeMat-Bulk | GGA-PBE | relaxed" density_g_cm3=8.296 total_energy_ev_per_atom=-4.5702 magnetic_moment_mub_per_fu=0.0 vol_a3_per_atom=31.3 ef_mev_per_atom=131 pbc="T T T"
Tb 0.712 0.000 6.751
Tb 2.519 0.000 17.644
Ho 0.724 0.000 3.114
Ho 0.514 2.717 22.899
Ho 0.730 2.717 10.863
Ho 0.732 0.000 14.011
Ho 0.747 2.717 16.310
Ho 0.742 2.717 19.536
Ho 2.490 2.717 4.859
Ho 2.484 2.717 8.085
Ho 2.500 0.000 10.384
Ho 2.501 2.717 13.532
Ho 2.718 2.717 1.496
Ho 2.508 0.000 21.281
Sc 1.768 0.000 0.000



Entry 5:
18
Lattice="8.212 -4.731 0.000 8.212 4.731 0.000 -0.004 0.000 6.700" Properties=species:S:1:pos:R:3 comment="Tb4Ho2Sc3 | Alexandria via LeMat-Bulk | GGA-PBE | relaxed" density_g_cm3=7.020 total_energy_ev_per_atom=-5.1231 magnetic_moment_mub_per_fu=0.0 vol_a3_per_atom=28.9 ef_mev_per_atom=63 pbc="T T T"
Tb 5.638 1.890 3.357
Tb 7.849 3.166 6.698
Tb 8.569 3.166 3.352
Tb 10.780 1.890 6.693
Tb 5.640 -1.890 0.007
Tb 7.851 -3.166 3.348
Tb 8.571 -3.166 0.002
Tb 10.782 -1.890 3.343
Ho 5.285 1.275 0.005
Ho 5.283 -1.275 3.355
Ho 11.137 1.275 3.345
Ho 11.135 -1.275 6.695
Sc 2.747 0.005 5.025
Sc 2.749 -0.005 1.675
Sc 8.211 0.003 1.675
Sc 8.209 -0.003 5.025
Sc 13.671 0.005 5.025
Sc 13.673 -0.005 1.675



Entry 6:
11
Lattice="6.962 0.000 0.000 -3.481 6.029 0.000 0.000 0.000 8.500" Properties=species:S:1:pos:R:3 comment="Tb3Ho7Sc | Alexandria via LeMat-Bulk | GGA-PBE | relaxed" density_g_cm3=7.802 polymorph_energy_ev_per_fu=0.40 total_energy_ev_per_atom=-4.5600 magnetic_moment_mub_per_fu=0.0 vol_a3_per_atom=32.4 ef_mev_per_atom=191 pbc="T T T"
Tb -1.732 3.019 0.000
Tb 1.732 3.019 0.000
Tb 0.000 6.019 0.000
Ho 0.000 2.030 5.610
Ho -1.723 5.014 5.610
Ho 1.752 1.012 2.825
Ho 1.723 5.014 5.610
Ho 3.481 2.010 5.618
Ho 5.209 1.012 2.825
Ho 3.481 4.006 2.825
Sc 0.000 4.019 2.852



Entry 7:
16
Lattice="7.021 0.000 0.000 0.000 7.021 0.000 0.000 0.000 9.915" Properties=species:S:1:pos:R:3 comment="TbHo14Sc | Alexandria via LeMat-Bulk | GGA-PBE | relaxed" density_g_cm3=8.537 total_energy_ev_per_atom=-4.6673 magnetic_moment_mub_per_fu=0.0 vol_a3_per_atom=30.6 ef_mev_per_atom=23 pbc="T T T"
Tb 0.000 0.000 0.000
Ho 0.000 0.000 4.958
Ho 0.000 3.511 0.000
Ho 0.000 3.511 4.958
Ho 1.767 1.767 2.460
Ho 1.767 1.767 7.455
Ho 1.767 5.255 2.460
Ho 1.767 5.255 7.455
Ho 3.511 0.000 0.000
Ho 3.511 0.000 4.958
Ho 3.511 3.511 4.958
Ho 5.255 1.767 2.460
Ho 5.255 1.767 7.455
Ho 5.255 5.255 2.460
Ho 5.255 5.255 7.455
Sc 3.511 3.511 0.000



Entry 8:
10
Lattice="-5.275 5.275 2.868 5.275 -5.275 2.868 5.275 5.275 -2.868" Properties=species:S:1:pos:R:3 comment="Tb4Ho5Sc | Alexandria via LeMat-Bulk | GGA-PBE | relaxed" density_g_cm3=7.832 polymorph_energy_ev_per_fu=1.19 total_energy_ev_per_atom=-4.5398 magnetic_moment_mub_per_fu=0.0 vol_a3_per_atom=31.9 ef_mev_per_atom=234 pbc="T T T"
Tb 3.403 0.000 0.000
Tb 7.146 0.000 0.000
Tb 0.000 3.403 0.000
Tb 0.000 7.146 0.000
Ho 0.000 0.000 1.304
Ho 3.304 3.304 0.061
Ho 1.970 -1.970 2.929
Ho -1.970 1.970 2.929
Ho 1.970 1.970 2.929
Sc 0.000 0.000 4.342



Entry 9:
6
Lattice="1.760 -9.107 0.000 1.760 9.107 0.000 0.000 0.000 5.501" Properties=species:S:1:pos:R:3 comment="TbHoSc | Alexandria via LeMat-Bulk | GGA-PBE | relaxed" density_g_cm3=6.945 polymorph_energy_ev_per_fu=0.01 total_energy_ev_per_atom=-5.1502 magnetic_moment_mub_per_fu=0.2 vol_a3_per_atom=29.4 ef_mev_per_atom=30 pbc="T T T"
Tb 1.760 5.095 4.126
Tb 1.760 -5.095 1.375
Ho 1.760 7.178 1.375
Ho 1.760 -7.178 4.126
Sc 1.760 0.964 1.375
Sc 1.760 -0.964 4.126



Entry 10:
12
Lattice="5.553 -7.482 0.000 5.553 7.482 0.000 -2.222 0.000 4.449" Properties=species:S:1:pos:R:3 comment="Tb5Ho6Sc | Alexandria via LeMat-Bulk | GGA-PBE | relaxed" density_g_cm3=8.216 total_energy_ev_per_atom=-4.7185 magnetic_moment_mub_per_fu=0.0 vol_a3_per_atom=30.8 ef_mev_per_atom=27 pbc="T T T"
Tb 0.000 0.000 0.000
Tb 4.442 4.997 2.225
Tb 5.553 2.464 0.000
Tb 5.553 -2.464 0.000
Tb 4.442 -4.997 2.225
Ho 2.240 2.479 1.122
Ho 1.145 0.000 3.354
Ho 2.240 -2.479 1.122
Ho 6.644 2.479 3.327
Ho 7.739 0.000 1.095
Ho 6.644 -2.479 3.327
Sc 4.442 0.000 2.225



Entry 11:
12
Lattice="-3.811 3.811 7.635 3.811 -3.811 7.635 3.811 3.811 -7.635" Properties=species:S:1:pos:R:3 comment="Tb8Ho3Sc | Alexandria via LeMat-Bulk | GGA-PBE | relaxed" density_g_cm3=6.779 total_energy_ev_per_atom=-4.0425 magnetic_moment_mub_per_fu=0.0 vol_a3_per_atom=37.0 ef_mev_per_atom=716 pbc="T T T"
Tb 1.878 1.878 -1.874
Tb 1.934 -1.934 5.761
Tb 1.878 1.878 1.874
Tb 1.934 -1.934 9.509
Tb -1.934 1.934 5.761
Tb 1.934 1.934 5.761
Tb -1.934 1.934 9.509
Tb 1.934 1.934 9.509
Ho 3.811 0.000 3.817
Ho 0.000 0.000 7.635
Ho 0.000 3.811 3.817
Sc 0.000 0.000 0.000



Entry 12:
10
Lattice="8.703 -1.723 0.000 8.703 1.723 0.000 -3.178 0.000 10.365" Properties=species:S:1:pos:R:3 comment="Tb4Ho5Sc | Alexandria via LeMat-Bulk | GGA-PBE | relaxed" density_g_cm3=8.043 polymorph_energy_ev_per_fu=0.00 total_energy_ev_per_atom=-4.6591 magnetic_moment_mub_per_fu=0.0 vol_a3_per_atom=31.1 ef_mev_per_atom=115 pbc="T T T"
Tb 0.617 0.000 3.194
Tb 3.969 0.000 4.318
Tb 10.260 0.000 6.047
Tb 13.612 0.000 7.171
Ho -0.655 0.000 8.155
Ho 3.283 0.000 1.015
Ho 8.703 0.000 0.000
Ho 10.946 0.000 9.349
Ho 14.883 0.000 2.210
Sc 7.114 0.000 5.182



Entry 13:
5
Lattice="-1.695 2.709 7.776 1.695 -2.709 7.776 1.695 2.709 -7.776" Properties=species:S:1:pos:R:3 comment="TbHo2Sc2 | Alexandria via LeMat-Bulk | GGA-PBE | relaxed" density_g_cm3=6.729 polymorph_energy_ev_per_fu=0.06 total_energy_ev_per_atom=-5.2311 magnetic_moment_mub_per_fu=0.1 vol_a3_per_atom=28.6 ef_mev_per_atom=59 pbc="T T T"
Tb 0.000 0.000 0.000
Ho 1.695 0.000 3.291
Ho 0.000 2.709 4.485
Sc 0.000 0.000 6.261
Sc 0.000 0.000 9.291



Entry 14:
12
Lattice="-3.803 3.803 7.603 3.803 -3.803 7.603 3.803 3.803 -7.603" Properties=species:S:1:pos:R:3 comment="Tb3Ho8Sc | Alexandria via LeMat-Bulk | GGA-PBE | relaxed" density_g_cm3=6.950 total_energy_ev_per_atom=-4.0115 magnetic_moment_mub_per_fu=0.0 vol_a3_per_atom=36.7 ef_mev_per_atom=726 pbc="T T T"
Tb 0.000 0.000 0.000
Tb 3.803 0.000 3.802
Tb 0.000 3.803 3.802
Ho 1.935 1.935 -1.861
Ho 1.868 -1.868 5.742
Ho 1.935 1.935 1.861
Ho 1.868 -1.868 9.465
Ho -1.868 1.868 5.742
Ho 1.868 1.868 5.742
Ho -1.868 1.868 9.465
Ho 1.868 1.868 9.465
Sc 0.000 0.000 7.603



Entry 15:
12
Lattice="10.993 0.000 0.000 -5.496 9.520 0.000 0.000 0.000 3.446" Properties=species:S:1:pos:R:3 comment="TbHo9Sc2 | Alexandria via LeMat-Bulk | GGA-PBE | relaxed" density_g_cm3=7.982 polymorph_energy_ev_per_fu=0.08 total_energy_ev_per_atom=-4.8317 magnetic_moment_mub_per_fu=0.0 vol_a3_per_atom=30.0 ef_mev_per_atom=43 pbc="T T T"
Tb 0.000 0.000 0.000
Ho -2.748 4.760 0.000
Ho 0.000 3.413 1.723
Ho -2.541 7.814 1.723
Ho 2.955 1.706 1.723
Ho 5.496 0.000 0.000
Ho 2.748 4.760 0.000
Ho 2.541 7.814 1.723
Ho 8.037 1.706 1.723
Ho 5.496 6.107 1.723
Sc 0.000 6.347 0.000
Sc 5.496 3.173 0.000



Entry 16:
19
Lattice="7.904 4.563 2.951 -7.904 4.563 2.951 0.000 -9.127 2.951" Properties=species:S:1:pos:R:3 comment="Tb12Ho6Sc | Alexandria via LeMat-Bulk | GGA-PBE | relaxed" density_g_cm3=7.649 polymorph_energy_ev_per_fu=4.95 total_energy_ev_per_atom=-4.2897 magnetic_moment_mub_per_fu=0.0 vol_a3_per_atom=33.6 ef_mev_per_atom=414 pbc="T T T"
Tb -3.078 -3.795 2.951
Tb -4.826 -0.768 2.951
Tb 0.000 -2.292 2.954
Tb -1.985 1.146 2.954
Tb 3.078 -3.795 2.951
Tb -1.748 4.563 2.951
Tb -1.985 -1.146 5.900
Tb 1.985 1.146 2.954
Tb 4.826 -0.768 2.951
Tb 1.748 4.563 2.951
Tb 1.985 -1.146 5.900
Tb 0.000 2.292 5.900
Ho 0.000 -5.645 3.100
Ho -4.889 2.823 3.100
Ho -4.889 -2.823 5.753
Ho 4.889 2.823 3.100
Ho 4.889 -2.823 5.753
Ho 0.000 5.645 5.753
Sc 0.000 0.000 4.427



Entry 17:
20
Lattice="5.008 0.000 0.000 0.000 5.008 0.000 0.000 0.000 24.993" Properties=species:S:1:pos:R:3 comment="Tb15Ho4Sc | Alexandria via LeMat-Bulk | GGA-PBE | relaxed" density_g_cm3=8.181 total_energy_ev_per_atom=-4.6835 magnetic_moment_mub_per_fu=0.0 vol_a3_per_atom=31.3 ef_mev_per_atom=21 pbc="T T T"
Tb 0.000 0.000 0.000
Tb 0.000 0.000 4.941
Tb 0.000 0.000 9.981
Tb 0.000 0.000 15.012
Tb 0.000 0.000 20.052
Tb 0.000 2.504 2.424
Tb 0.000 2.504 7.463
Tb 0.000 2.504 12.497
Tb 0.000 2.504 17.531
Tb 0.000 2.504 22.569
Tb 2.504 0.000 2.424
Tb 2.504 0.000 7.463
Tb 2.504 0.000 12.497
Tb 2.504 0.000 17.531
Tb 2.504 0.000 22.569
Ho 2.504 2.504 4.948
Ho 2.504 2.504 9.981
Ho 2.504 2.504 15.013
Ho 2.504 2.504 20.045
Sc 2.504 2.504 0.000



Entry 18:
16
Lattice="10.795 0.000 0.000 0.000 6.956 0.000 0.000 0.000 6.015" Properties=species:S:1:pos:R:3 comment="Tb3HoSc4 | Alexandria via LeMat-Bulk | GGA-PBE | relaxed" density_g_cm3=6.041 total_energy_ev_per_atom=-5.4427 magnetic_moment_mub_per_fu=0.0 vol_a3_per_atom=28.2 ef_mev_per_atom=32 pbc="T T T"
Tb 0.000 0.933 0.000
Tb 2.700 0.932 2.062
Tb 2.698 6.024 5.070
Tb 5.398 6.023 3.007
Tb 8.095 0.932 2.062
Tb 8.097 6.024 5.070
Ho 0.000 6.021 3.005
Ho 5.398 0.935 6.012
Sc 0.000 2.669 3.056
Sc 0.000 4.288 0.048
Sc 2.693 4.286 2.014
Sc 2.705 2.670 5.021
Sc 5.398 2.669 3.055
Sc 5.398 4.287 0.048
Sc 8.090 2.670 5.021
Sc 8.102 4.286 2.014



Entry 19:
14
Lattice="-4.654 4.654 4.654 4.654 -4.654 4.654 4.654 4.654 -4.654" Properties=species:S:1:pos:R:3 comment="Tb2Ho2Sc3 | Alexandria via LeMat-Bulk | GGA-PBE | relaxed" density_g_cm3=6.446 total_energy_ev_per_atom=-5.1042 magnetic_moment_mub_per_fu=0.0 vol_a3_per_atom=28.8 ef_mev_per_atom=240 pbc="T T T"
Tb 6.153 -1.499 1.499
Tb 1.499 6.153 -1.499
Tb 3.155 3.155 3.155
Tb -1.499 1.499 6.153
Ho 4.292 0.362 -0.362
Ho 0.362 0.362 0.362
Ho 0.362 -0.362 4.292
Ho -0.362 4.292 0.362
Sc 6.981 1.869 0.000
Sc 2.785 0.000 2.327
Sc 2.327 2.785 0.000
Sc 0.000 2.327 2.785
Sc 1.869 0.000 6.981
Sc 0.000 6.981 1.869